The following is a DFT calculation (SCAN) of a PBEsol-optimized structure of HoB4.

Lattice parameters (Å, degrees): 7.040 7.040 3.974 90.00 90.00 90.00
Space group P4/mbm (No. 127)
Inequivalent atoms, fractional coordinates:
Ho: 0.183 0.317 0.000 x4
B: 0.000 0.000 0.203 x4
B: 0.039 0.823 0.500 x8
B: 0.087 0.587 0.500 x4

Properties
ΔE_f = -0.6597 eV/atom
ρ = 7.0 g/cm³

The following is a DFT calculation (SCAN) of a PBEsol-optimized structure of MgTl.

Lattice parameters (Å, degrees): 3.4266 3.4266 9.5945 90.00 90.00 120.00
Space group P6_3/mmc (No. 194)
Inequivalent atoms, fractional coordinates:
Mg: 0.3333 0.6667 0.2500 x2
Tl: 0.0000 0.0000 0.0000 x2

Properties
ΔE_f = -0.1077 eV/atom
ρ = 7.8 g/cm³

The following is a DFT calculation (SCAN) of a PBEsol-optimized structure of Ca2MgTl2.

Lattice parameters (Å, degrees): 8.303 8.303 4.106 90.00 90.00 90.00
Space group P4/mbm (No. 127)
Inequivalent atoms, fractional coordinates:
Ca: 0.166 0.334 0.000 x4
Mg: 0.000 0.000 0.500 x2
Tl: 0.135 0.635 0.500 x4

Properties
ΔE_f = -0.4736 eV/atom
ρ = 6.0 g/cm³

The following is a DFT calculation (SCAN) of a PBEsol-optimized structure of EuSe2.

Lattice parameters (Å, degrees): 4.033 4.033 8.605 90.00 90.00 90.00
Space group P4/nmm (No. 129, origin choice 2)
Inequivalent atoms, fractional coordinates:
Eu: 0.250 0.250 0.214 x2
Se: 0.250 0.250 0.864 x2
Se: 0.250 0.750 0.500 x2

Properties
ρ = 7.4 g/cm³
Formation energy without anion corrections = -1.5178 eV per atom

Repeat the first record exactly.
The following is a DFT calculation (SCAN) of a PBEsol-optimized structure of HoB4.

Lattice parameters (Å, degrees): 7.040 7.040 3.974 90.00 90.00 90.00
Space group P4/mbm (No. 127)
Inequivalent atoms, fractional coordinates:
Ho: 0.183 0.317 0.000 x4
B: 0.000 0.000 0.203 x4
B: 0.039 0.823 0.500 x8
B: 0.087 0.587 0.500 x4

Properties
ΔE_f = -0.6597 eV/atom
ρ = 7.0 g/cm³

- Which formula does entry 2 have?
  MgTl